Record 1
This record from Alexandria via LeMat-Bulk describes a relaxed structure of SmThTeSe. The functional is PBE.

offset from the most stable computed form: 0.0 meV/atom
DFT total energy: -6.122 eV/atom
raw formation energy: -1430.5 meV/atom

Cell: 4.1301 4.1301 23.2966 Å, 90.00 90.00 120.00°
Closest atoms and distances in Å follow each position.
Space group R3m (No. 160, hexagonal axes)
Inequivalent atoms, fractional coordinates:
Sm 0.0000 0.0000 0.0000 [3 per cell]  3 Se 2.93, 3 Te 3.17
Th 0.0000 0.0000 0.8171 [3 per cell]  3 Se 2.99, 3 Te 3.23
Te 0.0000 0.0000 0.5772 [3 per cell]  3 Sm 3.17, 3 Th 3.23
Se 0.0000 0.0000 0.4062 [3 per cell]  3 Sm 2.93, 3 Th 2.99

Record 2
This record from Alexandria via LeMat-Bulk describes a relaxed structure of SmThTeSe. The functional is PBE.

offset from the most stable computed form: 138.7 meV/atom
DFT total energy: -5.983 eV/atom
raw formation energy: -1291.9 meV/atom

Cell: 7.4849 7.4849 7.4849 Å, 90.00 90.00 90.00°
Closest atoms and distances in Å follow each position.
Space group F-43m (No. 216)
Inequivalent atoms, fractional coordinates:
Sm 0.0000 0.0000 0.0000 [4 per cell]  4 Se 3.24, 4 Te 3.24
Th 0.0000 0.0000 0.5000 [4 per cell]  4 Se 3.24, 4 Te 3.24
Te 0.2500 0.2500 0.2500 [4 per cell]  4 Th 3.24, 4 Sm 3.24
Se 0.2500 0.2500 0.7500 [4 per cell]  4 Th 3.24, 4 Sm 3.24

Record 3
This record from Alexandria via LeMat-Bulk describes a relaxed structure of Sm4TlTe2Se. The functional is PBE.

DFT total energy: -5.123 eV/atom
raw formation energy: -1246.4 meV/atom

Cell: 7.5975 4.3609 7.6740 Å, 90.00 109.04 90.00°
Closest atoms and distances in Å follow each position.
Space group P2/m (No. 10)
Inequivalent atoms, fractional coordinates:
Sm 0.2399 0.0000 0.2308 [2 per cell]  2 Se 3.02, 1 Tl 3.05, 3 Te 3.17-3.20
Sm 0.2495 0.5000 0.7601 [2 per cell]  1 Se 3.04, 2 Tl 3.08, 3 Te 3.14-3.18
Tl 0.5000 0.0000 0.0000 [1 per cell]  6 Sm 3.05-3.08
Te 0.0000 0.0000 0.5000 [1 per cell]  6 Sm 3.14-3.17
Te 0.5000 0.5000 0.5000 [1 per cell]  6 Sm 3.18-3.20
Se 0.0000 0.5000 0.0000 [1 per cell]  6 Sm 3.02-3.04

Record 4
This record from Alexandria via LeMat-Bulk describes a relaxed structure of Sm4TlTeSe2. The functional is PBE.

DFT total energy: -5.259 eV/atom
raw formation energy: -1339.9 meV/atom

Cell: 7.5310 4.2255 7.5628 Å, 90.00 108.37 90.00°
Closest atoms and distances in Å follow each position.
Space group P2/m (No. 10)
Inequivalent atoms, fractional coordinates:
Sm 0.2375 0.0000 0.2315 [2 per cell]  3 Se 2.96-3.03, 1 Tl 3.10, 2 Te 3.16
Sm 0.2554 0.5000 0.7665 [2 per cell]  3 Se 2.99, 2 Tl 3.13, 1 Te 3.13
Tl 0.0000 0.0000 0.5000 [1 per cell]  6 Sm 3.10-3.13
Te 0.5000 0.5000 0.5000 [1 per cell]  6 Sm 3.13-3.16
Se 0.0000 0.5000 0.0000 [1 per cell]  6 Sm 2.96-2.99
Se 0.5000 0.0000 0.0000 [1 per cell]  6 Sm 2.99-3.03

Record 5
This record from Alexandria via LeMat-Bulk describes a relaxed structure of Sm6Tl3TeSe2. The functional is PBE.

DFT total energy: -4.792 eV/atom
raw formation energy: -998.2 meV/atom

Cell: 19.8677 4.1824 9.2078 Å, 90.00 111.65 90.00°
Closest atoms and distances in Å follow each position.
Space group C2/m (No. 12)
Inequivalent atoms, fractional coordinates:
Sm 0.0092 0.0000 0.2510 [4 per cell]  1 Se 2.97, 2 Te 3.07, 3 Tl 3.16-3.21
Sm 0.1678 0.5000 0.0965 [4 per cell]  2 Se 3.00, 1 Te 3.12, 3 Tl 3.19-3.24
Sm 0.1726 0.5000 0.5643 [4 per cell]  3 Se 2.95-2.98, 3 Tl 3.23-3.26
Tl 0.0000 0.5000 0.5000 [2 per cell]  6 Sm 3.16-3.26
Tl 0.1615 0.0000 0.8225 [4 per cell]  6 Sm 3.19-3.24
Te 0.0000 0.5000 0.0000 [2 per cell]  6 Sm 3.07-3.12
Se 0.1681 0.0000 0.3297 [4 per cell]  6 Sm 2.95-3.00

Record 6
This record from Alexandria via LeMat-Bulk describes a relaxed structure of Sm6Tl2Te3Se. The functional is PBE.

DFT total energy: -4.945 eV/atom
raw formation energy: -1115.7 meV/atom

Cell: 19.3542 4.2919 9.0965 Å, 90.00 104.16 90.00°
Closest atoms and distances in Å follow each position.
Space group C2/m (No. 12)
Inequivalent atoms, fractional coordinates:
Sm 0.0027 0.0000 0.2358 [4 per cell]  2 Se 3.03, 1 Tl 3.08, 3 Te 3.17-3.23
Sm 0.1608 0.5000 0.0818 [4 per cell]  1 Se 3.02, 2 Tl 3.11, 3 Te 3.13-3.25
Sm 0.1663 0.5000 0.5822 [4 per cell]  3 Te 3.12-3.14, 3 Tl 3.13
Tl 0.1669 0.0000 0.3323 [4 per cell]  6 Sm 3.08-3.13
Te 0.0000 0.5000 0.5000 [2 per cell]  6 Sm 3.12-3.23
Te 0.1660 0.0000 0.8347 [4 per cell]  6 Sm 3.13-3.25
Se 0.0000 0.5000 0.0000 [2 per cell]  6 Sm 3.02-3.03